Sn3Bi SCAN single point on PBEsol structure; density = 8526 kg/m³; calculated formation energy = 0.23 eV/atom
1.0
4.792 0.000 0.000
0.000 4.792 0.000
0.000 0.000 4.792
Sn Bi
3 1
direct
0.000 0.000 0.500
0.000 0.500 0.000
0.500 0.000 0.000
0.500 0.500 0.500